GaPICl2 GGA-PBE optimized geometry; V = 170 Å³ per cell; formation energy from raw total energies = 2.2 eV/f.u.; energy above the most stable polymorph in this dataset = 467 meV/atom; DOS(E_F) = 3.3 states/eV/f.u.
1.0
-3.7850 -1.3081 -4.1724
2.1888 -5.3441 -0.3101
-3.3299 -1.5677 3.5121
I Cl Ga P
1 2 1 1
direct
0.0000 0.0000 0.0000
0.5000 0.0000 0.0000
0.0000 0.5000 0.0000
0.5000 0.5000 0.5000
0.0000 0.0000 0.5000